# 1
Density functional theory data (GGA-PBE) for a relaxed structure of ZrNbReBi2.

Unit cell a=5.2699 b=5.2699 c=4.9244 alpha=90.00 beta=90.00 gamma=90.00
Last column: nearest neighbours and their distance in Å.
Space group P4/mmm (No. 123)
Inequivalent atoms, fractional coordinates:
Zr 0.0000 0.0000 0.0000  8 Bi 3.61, 4 Nb 3.73
Nb 0.5000 0.5000 0.0000  2 Re 2.46
Re 0.5000 0.5000 0.5000  2 Nb 2.46, 4 Bi 2.63
Bi 0.0000 0.5000 0.5000  2 Re 2.63

Properties
- crystal system = tetragonal
- final energy (eV per atom) = -6.569

# 2
Density functional theory data (GGA-PBE) for a relaxed structure of Nb2Bi2Rh.

Unit cell a=7.6710 b=7.6710 c=3.6842 alpha=90.00 beta=90.00 gamma=90.00
Last column: nearest neighbours and their distance in Å.
Space group P4/mbm (No. 127)
Inequivalent atoms, fractional coordinates:
Nb 0.1271 0.3729 0.0000  1 Nb 2.76, 6 Bi 2.88-2.94
Bi 0.1684 0.6684 0.5000  2 Rh 2.85, 6 Nb 2.88-2.94
Rh 0.0000 0.0000 0.5000  4 Bi 2.85

Properties
- crystal system = tetragonal
- final energy (eV per atom) = -6.598

# 3
Density functional theory data (GGA-PBE) for a relaxed structure of NbBiRh3.

Unit cell a=4.7769 b=4.7769 c=4.7769 alpha=90.00 beta=90.00 gamma=90.00
Last column: nearest neighbours and their distance in Å.
Space group Pm-3m (No. 221)
Inequivalent atoms, fractional coordinates:
Nb 0.0000 0.0000 0.0000  6 Rh 2.39
Bi 0.5000 0.5000 0.5000  12 Rh 3.38
Rh 0.0000 0.0000 0.5000  2 Nb 2.39

Properties
- crystal system = cubic
- final energy (eV per atom) = -6.534

# 4
Density functional theory data (GGA-PBE) for a relaxed structure of Nb3BiRh.

Unit cell a=4.8820 b=4.8820 c=4.8820 alpha=90.00 beta=90.00 gamma=90.00
Last column: nearest neighbours and their distance in Å.
Space group Pm-3m (No. 221)
Inequivalent atoms, fractional coordinates:
Nb 0.0000 0.0000 0.5000  2 Rh 2.44
Bi 0.5000 0.5000 0.5000  12 Nb 3.45
Rh 0.0000 0.0000 0.0000  6 Nb 2.44

Properties
- crystal system = cubic
- final energy (eV per atom) = -7.483

# 5
Density functional theory data (GGA-PBE) for a relaxed structure of NbBi2Rh.

Unit cell a=6.9565 b=6.9565 c=6.9565 alpha=90.00 beta=90.00 gamma=90.00
Last column: nearest neighbours and their distance in Å.
Space group Fm-3m (No. 225)
Inequivalent atoms, fractional coordinates:
Nb 0.0000 0.0000 0.0000  8 Bi 3.01
Bi 0.2500 0.2500 0.2500  4 Nb 3.01, 4 Rh 3.01
Rh 0.0000 0.0000 0.5000  8 Bi 3.01

Properties
- crystal system = cubic
- final energy (eV per atom) = -6.070

# 6
Density functional theory data (GGA-PBE) for a relaxed structure of NbBiRh2.

Unit cell a=3.2802 b=3.2802 c=6.9973 alpha=90.00 beta=90.00 gamma=90.00
Last column: nearest neighbours and their distance in Å.
Space group P4/mmm (No. 123)
Inequivalent atoms, fractional coordinates:
Nb 0.0000 0.0000 0.0000  8 Rh 2.71
Bi 0.0000 0.0000 0.5000  8 Rh 3.13, 4 Bi 3.28, 2 Nb 3.50
Rh 0.5000 0.5000 0.2001  4 Nb 2.71, 1 Rh 2.80

Properties
- crystal system = tetragonal
- final energy (eV per atom) = -7.401

# 7
Density functional theory data (GGA-PBE) for a relaxed structure of NbBi2Rh.

Unit cell a=3.2905 b=3.2905 c=29.7006 alpha=90.00 beta=90.00 gamma=120.00
Last column: nearest neighbours and their distance in Å.
Space group R-3m (No. 166, hexagonal axes)
Inequivalent atoms, fractional coordinates:
Nb 0.0000 0.0000 0.0000  2 Bi 2.90
Bi 0.0000 0.0000 0.0975  3 Rh 2.80, 1 Nb 2.90
Rh 0.0000 0.0000 0.5000  6 Bi 2.80

Properties
- crystal system = trigonal
- final energy (eV per atom) = -5.842

# 8
Density functional theory data (GGA-PBE) for a relaxed structure of NbBi3Rh.

Unit cell a=5.4203 b=5.4203 c=5.4203 alpha=90.00 beta=90.00 gamma=90.00
Last column: nearest neighbours and their distance in Å.
Space group Pm-3m (No. 221)
Inequivalent atoms, fractional coordinates:
Nb 0.0000 0.0000 0.0000  6 Bi 2.71
Bi 0.0000 0.0000 0.5000  2 Nb 2.71
Rh 0.5000 0.5000 0.5000  12 Bi 3.83

Properties
- crystal system = cubic
- final energy (eV per atom) = -4.844

# 9
Density functional theory data (GGA-PBE) for a relaxed structure of NbBi3Rh.

Unit cell a=5.2334 b=5.2334 c=5.2334 alpha=90.00 beta=90.00 gamma=90.00
Last column: nearest neighbours and their distance in Å.
Space group Pm-3m (No. 221)
Inequivalent atoms, fractional coordinates:
Nb 0.0000 0.0000 0.0000  12 Bi 3.70
Bi 0.0000 0.5000 0.5000  2 Rh 2.62
Rh 0.5000 0.5000 0.5000  6 Bi 2.62

Properties
- crystal system = cubic
- final energy (eV per atom) = -4.901

# 10
Density functional theory data (GGA-PBE) for a relaxed structure of Nb2Bi2Rh.

Unit cell a=3.6464 b=3.6464 c=17.4643 alpha=90.00 beta=90.00 gamma=90.00
Last column: nearest neighbours and their distance in Å.
Space group I4/mmm (No. 139)
Inequivalent atoms, fractional coordinates:
Nb 0.0000 0.5000 0.2500  4 Nb 2.58
Bi 0.0000 0.0000 0.0958  4 Rh 3.07, 4 Nb 3.25, 1 Bi 3.35
Rh 0.0000 0.0000 0.5000  8 Bi 3.07

Properties
- crystal system = tetragonal
- final energy (eV per atom) = -6.485

# 11
Density functional theory data (GGA-PBE) for a relaxed structure of NbBiRh2.

Unit cell a=5.6969 b=5.6969 c=12.5406 alpha=90.00 beta=90.00 gamma=90.00
Last column: nearest neighbours and their distance in Å.
Space group I-42d (No. 122)
Inequivalent atoms, fractional coordinates:
Nb 0.0000 0.0000 0.0000  4 Rh 2.46
Bi 0.0000 0.0000 0.5000  4 Rh 2.66
Rh 0.2182 0.2500 0.1250  2 Nb 2.46, 2 Bi 2.66

Properties
- crystal system = tetragonal
- final energy (eV per atom) = -6.728

# 12
Density functional theory data (GGA-PBE) for a relaxed structure of NbBi2Rh.

Unit cell a=7.6729 b=7.6729 c=6.3780 alpha=90.00 beta=90.00 gamma=90.00
Last column: nearest neighbours and their distance in Å.
Space group I-42d (No. 122)
Inequivalent atoms, fractional coordinates:
Nb 0.0000 0.0000 0.0000  4 Bi 2.98, 2 Rh 3.19
Bi 0.2207 0.2500 0.6250  2 Rh 2.68, 2 Nb 2.98
Rh 0.0000 0.0000 0.5000  4 Bi 2.68

Properties
- crystal system = tetragonal
- final energy (eV per atom) = -5.749

# 13
Density functional theory data (GGA-PBE) for a relaxed structure of NbBiTe2Rh.

Unit cell a=5.7620 b=5.7620 c=5.2971 alpha=90.00 beta=90.00 gamma=90.00
Last column: nearest neighbours and their distance in Å.
Space group P4/mmm (No. 123)
Inequivalent atoms, fractional coordinates:
Nb 0.0000 0.0000 0.0000  2 Bi 2.65
Bi 0.0000 0.0000 0.5000  2 Nb 2.65, 4 Te 2.88
Te 0.0000 0.5000 0.5000  2 Bi 2.88
Rh 0.5000 0.5000 0.0000  8 Te 3.91, 4 Nb 4.07

Properties
- crystal system = tetragonal
- formation energy without anion corrections (eV/atom) = 1.84

# 14
Density functional theory data (GGA-PBE) for a relaxed structure of NbV2BiRh.

Unit cell a=4.8138 b=4.8138 c=5.1253 alpha=90.00 beta=90.00 gamma=90.00
Last column: nearest neighbours and their distance in Å.
Space group P4/mmm (No. 123)
Inequivalent atoms, fractional coordinates:
Nb 0.0000 0.0000 0.0000  2 Bi 2.56
V 0.0000 0.5000 0.5000  2 Bi 2.41
Bi 0.0000 0.0000 0.5000  4 V 2.41, 2 Nb 2.56
Rh 0.5000 0.5000 0.0000  4 Nb 3.40, 8 V 3.52

Properties
- crystal system = tetragonal
- final energy (eV per atom) = -5.790

# 15
Density functional theory data (GGA-PBE) for a relaxed structure of NbBiRu3.

Unit cell a=4.7578 b=4.7578 c=4.7578 alpha=90.00 beta=90.00 gamma=90.00
Last column: nearest neighbours and their distance in Å.
Space group Pm-3m (No. 221)
Inequivalent atoms, fractional coordinates:
Nb 0.0000 0.0000 0.0000  6 Ru 2.38
Bi 0.5000 0.5000 0.5000  12 Ru 3.36
Ru 0.0000 0.0000 0.5000  2 Nb 2.38

Properties
- crystal system = cubic
- final energy (eV per atom) = -7.076

# 16
Density functional theory data (GGA-PBE) for a relaxed structure of Nb3BiRu.

Unit cell a=4.8658 b=4.8658 c=4.8658 alpha=90.00 beta=90.00 gamma=90.00
Last column: nearest neighbours and their distance in Å.
Space group Pm-3m (No. 221)
Inequivalent atoms, fractional coordinates:
Nb 0.0000 0.0000 0.5000  2 Ru 2.43
Bi 0.5000 0.5000 0.5000  12 Nb 3.44
Ru 0.0000 0.0000 0.0000  6 Nb 2.43

Properties
- crystal system = cubic
- final energy (eV per atom) = -7.873

# 17
Density functional theory data (GGA-PBE) for a relaxed structure of NbBiRu2.

Unit cell a=3.2182 b=3.2182 c=7.0735 alpha=90.00 beta=90.00 gamma=90.00
Last column: nearest neighbours and their distance in Å.
Space group P4/mmm (No. 123)
Inequivalent atoms, fractional coordinates:
Nb 0.0000 0.0000 0.0000  8 Ru 2.71
Bi 0.0000 0.0000 0.5000  8 Ru 3.07, 4 Bi 3.22
Ru 0.5000 0.5000 0.2083  4 Nb 2.71, 1 Ru 2.95

Properties
- crystal system = tetragonal
- final energy (eV per atom) = -8.066

# 18
Density functional theory data (GGA-PBE) for a relaxed structure of NbBiRu3.

Unit cell a=4.8261 b=4.8261 c=4.8261 alpha=90.00 beta=90.00 gamma=90.00
Last column: nearest neighbours and their distance in Å.
Space group Pm-3m (No. 221)
Inequivalent atoms, fractional coordinates:
Nb 0.0000 0.0000 0.0000  12 Ru 3.41
Bi 0.5000 0.5000 0.5000  6 Ru 2.41
Ru 0.0000 0.5000 0.5000  2 Bi 2.41

Properties
- crystal system = cubic
- final energy (eV per atom) = -6.264

# 19
Density functional theory data (GGA-PBE) for a relaxed structure of NbBi3Ru.

Unit cell a=5.2215 b=5.2215 c=5.2215 alpha=90.00 beta=90.00 gamma=90.00
Last column: nearest neighbours and their distance in Å.
Space group Pm-3m (No. 221)
Inequivalent atoms, fractional coordinates:
Nb 0.0000 0.0000 0.0000  12 Bi 3.69
Bi 0.0000 0.5000 0.5000  2 Ru 2.61
Ru 0.5000 0.5000 0.5000  6 Bi 2.61

Properties
- crystal system = cubic
- final energy (eV per atom) = -5.083

# 20
Density functional theory data (GGA-PBE) for a relaxed structure of NbBiRu2.

Unit cell a=6.5453 b=6.5453 c=6.5453 alpha=90.00 beta=90.00 gamma=90.00
Last column: nearest neighbours and their distance in Å.
Space group Fm-3m (No. 225)
Inequivalent atoms, fractional coordinates:
Nb 0.0000 0.0000 0.0000  8 Ru 2.83
Bi 0.0000 0.0000 0.5000  8 Ru 2.83
Ru 0.2500 0.2500 0.2500  4 Bi 2.83, 4 Nb 2.83

Properties
- crystal system = cubic
- final energy (eV per atom) = -7.871

# 21
Density functional theory data (GGA-PBE) for a relaxed structure of NbBi3Ru.

Unit cell a=5.4426 b=5.4426 c=5.4426 alpha=90.00 beta=90.00 gamma=90.00
Last column: nearest neighbours and their distance in Å.
Space group Pm-3m (No. 221)
Inequivalent atoms, fractional coordinates:
Nb 0.0000 0.0000 0.0000  6 Bi 2.72
Bi 0.0000 0.0000 0.5000  2 Nb 2.72
Ru 0.5000 0.5000 0.5000  12 Bi 3.85

Properties
- crystal system = cubic
- final energy (eV per atom) = -4.968

# 22
Density functional theory data (GGA-PBE) for a relaxed structure of NbBiRu2.

Unit cell a=5.9522 b=5.9522 c=11.4923 alpha=90.00 beta=90.00 gamma=90.00
Last column: nearest neighbours and their distance in Å.
Space group I-42d (No. 122)
Inequivalent atoms, fractional coordinates:
Nb 0.0000 0.0000 0.0000  4 Ru 2.45
Bi 0.0000 0.0000 0.5000  4 Ru 2.65
Ru 0.2216 0.2500 0.1250  2 Nb 2.45, 2 Bi 2.65

Properties
- crystal system = tetragonal
- final energy (eV per atom) = -7.227

# 23
Density functional theory data (GGA-PBE) for a relaxed structure of NbBiRuS2.

Unit cell a=4.7589 b=4.7589 c=4.9293 alpha=90.00 beta=90.00 gamma=90.00
Last column: nearest neighbours and their distance in Å.
Space group P4/mmm (No. 123)
Inequivalent atoms, fractional coordinates:
Nb 0.0000 0.0000 0.0000  4 S 2.38, 2 Ru 2.46
Bi 0.5000 0.5000 0.5000  4 Ru 3.37, 8 S 3.43
Ru 0.0000 0.0000 0.5000  2 Nb 2.46
S 0.0000 0.5000 0.0000  2 Nb 2.38

Properties
- crystal system = tetragonal
- formation energy without anion corrections (eV/atom) = 0.34

# 24
Density functional theory data (GGA-PBE) for a relaxed structure of NbBiRuSe2.

Unit cell a=5.4022 b=5.4022 c=5.3650 alpha=90.00 beta=90.00 gamma=90.00
Last column: nearest neighbours and their distance in Å.
Space group P4/mmm (No. 123)
Inequivalent atoms, fractional coordinates:
Nb 0.0000 0.0000 0.0000  2 Bi 2.68
Bi 0.0000 0.0000 0.5000  2 Nb 2.68, 4 Se 2.70
Ru 0.5000 0.5000 0.0000  8 Se 3.81, 4 Nb 3.82
Se 0.0000 0.5000 0.5000  2 Bi 2.70

Properties
- crystal system = tetragonal
- formation energy without anion corrections (eV/atom) = 1.93

# 25
Density functional theory data (GGA-PBE) for a relaxed structure of NbBiRuW2.

Unit cell a=4.8672 b=4.8672 c=4.7877 alpha=90.00 beta=90.00 gamma=90.00
Last column: nearest neighbours and their distance in Å.
Space group P4/mmm (No. 123)
Inequivalent atoms, fractional coordinates:
Nb 0.0000 0.0000 0.0000  2 Ru 2.39, 4 W 2.43
Bi 0.5000 0.5000 0.5000  8 W 3.41, 4 Ru 3.44
Ru 0.0000 0.0000 0.5000  2 Nb 2.39
W 0.0000 0.5000 0.0000  2 Nb 2.43

Properties
- crystal system = tetragonal
- final energy (eV per atom) = -7.929

# 26
Density functional theory data (GGA-PBE) for a relaxed structure of NbZnBi2Ru.

Unit cell a=5.5152 b=5.5152 c=4.7165 alpha=90.00 beta=90.00 gamma=90.00
Last column: nearest neighbours and their distance in Å.
Space group P4/mmm (No. 123)
Inequivalent atoms, fractional coordinates:
Nb 0.0000 0.0000 0.0000  2 Ru 2.36
Zn 0.5000 0.5000 0.5000  8 Bi 3.63, 4 Ru 3.90
Bi 0.0000 0.5000 0.0000  2 Nb 2.76
Ru 0.0000 0.0000 0.5000  2 Nb 2.36

Properties
- crystal system = tetragonal
- final energy (eV per atom) = -4.686

# 27
Density functional theory data (GGA-PBE) for a relaxed structure of NbBi2S2.

Unit cell a=5.5393 b=5.5393 c=8.8810 alpha=90.00 beta=90.00 gamma=90.00
Last column: nearest neighbours and their distance in Å.
Space group I4/mmm (No. 139)
Inequivalent atoms, fractional coordinates:
Nb 0.0000 0.0000 0.0000  2 Bi 2.89
Bi 0.0000 0.0000 0.3252  4 S 2.85, 1 Nb 2.89, 1 Bi 3.10
S 0.0000 0.5000 0.2500  4 Bi 2.85

Properties
- crystal system = tetragonal
- formation energy without anion corrections (eV/atom) = 0.82

# 28
Density functional theory data (GGA-PBE) for a relaxed structure of NbBiS2.

Unit cell a=3.4070 b=3.4070 c=26.7808 alpha=90.00 beta=90.00 gamma=120.00
Last column: nearest neighbours and their distance in Å.
Space group R-3m (No. 166, hexagonal axes)
Inequivalent atoms, fractional coordinates:
Nb 0.0000 0.0000 0.0000  6 S 2.51
Bi 0.0000 0.0000 0.5000  2 S 2.90
S 0.0000 0.0000 0.3916  3 Nb 2.51

Properties
- crystal system = trigonal
- formation energy without anion corrections (eV/atom) = -0.71